The following is a DFT calculation (PBE with a Hubbard U) of BaNaW2O8 after structural relaxation.

Cell: 6.727 6.727 6.727 Å, 107.09 107.09 114.35°
Positions (direct):
Ba1 0.000 0.000 0.000
Na1 0.250 0.750 0.500
W1 0.750 0.250 0.500
W2 0.500 0.500 0.000
O1 0.419 0.101 0.318
O2 0.350 0.532 0.182
O3 0.350 0.168 0.818
O4 0.782 0.101 0.682
O5 0.832 0.650 0.182
O6 0.899 0.218 0.318
O7 0.899 0.581 0.682
O8 0.468 0.650 0.818

- SG: I-4m2 (119)
- E: -6.7557 eV per atom
- Total moment: 1.12 μB per cell